# 1
The following is a PBE calculation of a relaxed structure of Li2TlPt, from Alexandria via LeMat-Bulk.

Unit cell a=4.4687 b=4.4687 c=4.4687 alpha=60.00 beta=60.00 gamma=60.00
Closest atoms and distances in Å follow each position.
Element x y z (fractional)
Li (0.2500, 0.2500, 0.2500)  4 Tl 2.74, 4 Pt 2.74
Li (0.7500, 0.7500, 0.7500)  4 Tl 2.74, 4 Pt 2.74
Tl (0.0000, 0.0000, 0.0000)  8 Li 2.74
Pt (0.5000, 0.5000, 0.5000)  8 Li 2.74

Computed properties:
- density (g/cm³) = 10.88
- electronic total energy (eV per cell) = -13.8
- N(E_F) (states/eV/f.u.) = 1.2
- symmetry = Fm-3m
- ΔE_f (kJ per mole of atoms) = -39

---

# 2
The following is a PBE calculation of a relaxed structure of SrCr3Tc, from Alexandria via LeMat-Bulk.

Unit cell a=4.7999 b=4.7999 c=4.7999 alpha=90.00 beta=90.00 gamma=90.00
Closest atoms and distances in Å follow each position.
Element x y z (fractional)
Sr (0.0000, 0.0000, 0.0000)  12 Cr 3.39
Cr (0.0000, 0.5000, 0.5000)  2 Tc 2.40
Cr (0.5000, 0.0000, 0.5000)  2 Tc 2.40
Cr (0.5000, 0.5000, 0.0000)  2 Tc 2.40
Tc (0.5000, 0.5000, 0.5000)  6 Cr 2.40

Computed properties:
- density (g/cm³) = 5.13
- electronic total energy (eV per cell) = -36.4
- N(E_F) (states/eV/f.u.) = 4.2
- symmetry = Pm-3m
- ΔE_f (kJ per mole of atoms) = 87

---

# 3
The following is a PBE calculation of a relaxed structure of K2UCu2Se4, from Alexandria via LeMat-Bulk.

Unit cell a=7.7488 b=7.7488 c=7.9256 alpha=108.79 beta=108.79 gamma=30.72
Closest atoms and distances in Å follow each position.
Element x y z (fractional)
K (0.1357, 0.1357, 0.0661)  7 Se 3.32-3.52, 1 Cu 3.68
K (0.8643, 0.8643, 0.9339)  7 Se 3.32-3.52, 1 Cu 3.68
U (0.0000, 0.0000, 0.5000)  6 Se 2.84-2.86
Cu (0.3188, 0.3188, 0.5119)  4 Se 2.47-2.55
Cu (0.6812, 0.6812, 0.4881)  4 Se 2.47-2.55
Se (0.1997, 0.1997, 0.6785)  3 Cu 2.51-2.55
Se (0.4796, 0.4796, 0.7367)  1 Cu 2.47
Se (0.5204, 0.5204, 0.2633)  1 Cu 2.47
Se (0.8003, 0.8003, 0.3215)  3 Cu 2.51-2.55

Computed properties:
- density (g/cm³) = 5.50
- electronic total energy (eV per cell) = -44.2
- N(E_F) (states/eV/f.u.) = 4.4
- uncorrected formation energy (eV/f.u.) = -8.56
- symmetry = C2/m

---

# 4
The following is a PBE calculation of a relaxed structure of LaMg2Si, from Alexandria via LeMat-Bulk.

Unit cell a=4.4368 b=4.4368 c=4.9093 alpha=90.00 beta=90.00 gamma=90.00
Closest atoms and distances in Å follow each position.
Element x y z (fractional)
La (0.0000, 0.0000, 0.0000)  4 Si 3.14, 8 Mg 3.31
Mg (0.0000, 0.5000, 0.5000)  4 Mg 3.14, 4 La 3.31, 4 Si 3.31
Mg (0.5000, 0.0000, 0.5000)  4 Mg 3.14, 4 La 3.31, 4 Si 3.31
Si (0.5000, 0.5000, 0.0000)  4 La 3.14, 8 Mg 3.31

Computed properties:
- density (g/cm³) = 3.70
- electronic total energy (eV per cell) = -14.5
- N(E_F) (states/eV/f.u.) = 2.1
- uncorrected formation energy (eV/f.u.) = -1.00
- symmetry = P4/mmm

---

# 5
The following is a PBE calculation of a relaxed structure of RbAlPdF6, from Alexandria via LeMat-Bulk.

Unit cell a=7.3783 b=7.2277 c=10.2805 alpha=90.00 beta=90.00 gamma=90.00
Closest atoms and distances in Å follow each position.
Element x y z (fractional)
Rb (0.0189, 0.2500, 0.1319)  7 F 2.83-3.13
Rb (0.4811, 0.7500, 0.6319)  7 F 2.83-3.13
Rb (0.5189, 0.2500, 0.3681)  7 F 2.83-3.13
Rb (0.9811, 0.7500, 0.8681)  7 F 2.83-3.13
Al (0.0000, 0.0000, 0.5000)  6 F 1.82-1.83
Al (0.0000, 0.5000, 0.5000)  6 F 1.82-1.83
Al (0.5000, 0.0000, 0.0000)  6 F 1.82-1.83
Al (0.5000, 0.5000, 0.0000)  6 F 1.82-1.83
Pd (0.2192, 0.2500, 0.7625)  6 F 2.16-2.25
Pd (0.2808, 0.7500, 0.2625)  6 F 2.16-2.25
Pd (0.7192, 0.2500, 0.7375)  6 F 2.16-2.25
Pd (0.7808, 0.7500, 0.2375)  6 F 2.16-2.25
F (0.0303, 0.2500, 0.4841)  2 Al 1.83
F (0.0403, 0.7500, 0.1403)  2 Pd 2.16-2.17
F (0.1344, 0.5011, 0.6486)  1 Al 1.82
F (0.1344, 0.9989, 0.6486)  1 Al 1.82
F (0.2069, 0.5310, 0.4051)  1 Al 1.83
F (0.2069, 0.9690, 0.4051)  1 Al 1.83
F (0.2931, 0.0310, 0.9051)  1 Al 1.83
F (0.2931, 0.4690, 0.9051)  1 Al 1.83
F (0.3656, 0.0011, 0.1486)  1 Al 1.82
F (0.3656, 0.4989, 0.1486)  1 Al 1.82
F (0.4597, 0.2500, 0.6403)  2 Pd 2.16-2.17
F (0.4697, 0.7500, 0.9841)  2 Al 1.83
F (0.5303, 0.2500, 0.0159)  2 Al 1.83
F (0.5403, 0.7500, 0.3597)  2 Pd 2.16-2.17
F (0.6344, 0.5011, 0.8514)  1 Al 1.82
F (0.6344, 0.9989, 0.8514)  1 Al 1.82
F (0.7069, 0.5310, 0.0949)  1 Al 1.83
F (0.7069, 0.9690, 0.0949)  1 Al 1.83
F (0.7931, 0.0310, 0.5949)  1 Al 1.83
F (0.7931, 0.4690, 0.5949)  1 Al 1.83
F (0.8656, 0.0011, 0.3514)  1 Al 1.82
F (0.8656, 0.4989, 0.3514)  1 Al 1.82
F (0.9597, 0.2500, 0.8597)  2 Pd 2.16-2.17
F (0.9697, 0.7500, 0.5159)  2 Al 1.83

Computed properties:
- density (g/cm³) = 4.03
- electronic total energy (eV per cell) = -178.7
- uncorrected formation energy (eV/f.u.) = -23.53
- symmetry = Pnma

---

# 6
The following is a PBE calculation of a relaxed structure of Hf2TeIr, from Alexandria via LeMat-Bulk.

Unit cell a=6.1667 b=6.1667 c=6.1667 alpha=103.97 beta=103.97 gamma=121.13
Closest atoms and distances in Å follow each position.
Element x y z (fractional)
Hf (0.0891, 0.6250, 0.9641)  2 Ir 2.61
Hf (0.3750, 0.3391, 0.4641)  2 Ir 2.61
Hf (0.6609, 0.1250, 0.0359)  2 Ir 2.61
Hf (0.8750, 0.9109, 0.5359)  2 Ir 2.61
Te (0.2500, 0.7500, 0.5000)  4 Hf 2.98, 2 Ir 3.03
Te (0.5000, 0.5000, 0.0000)  4 Hf 2.98, 2 Ir 3.03
Ir (0.0000, 0.0000, 0.0000)  4 Hf 2.61
Ir (0.7500, 0.2500, 0.5000)  4 Hf 2.61

Computed properties:
- density (g/cm³) = 12.86
- electronic total energy (eV per cell) = -66.4
- N(E_F) (states/eV/f.u.) = 2.1
- uncorrected formation energy (eV/f.u.) = -1.30
- symmetry = I-42d